[1]
Compound: NaFeAsPb
Source: OQMD via LeMat-Bulk
Functional: PBE
Structure: relaxed

CIF file:
```
data_NaFeAsPb
_space_group_name_H-M_alt 'F -4 3 m'
_space_group_IT_number 216
_space_group_name_Hall 'F -4 2 3'
_cell_length_a 6.6244
_cell_length_b 6.6244
_cell_length_c 6.6244
_cell_angle_alpha 90.00
_cell_angle_beta 90.00
_cell_angle_gamma 90.00
loop_
_atom_site_label
_atom_site_type_symbol
_atom_site_fract_x
_atom_site_fract_y
_atom_site_fract_z
Na1 Na 0.0000 0.0000 0.0000
Fe1 Fe 0.0000 0.0000 0.5000
As1 As 0.2500 0.2500 0.7500
Pb1 Pb 0.2500 0.2500 0.2500
```

Properties
ΔE to the lowest computed polymorph: 0.0 meV/atom
Spin magnetization: 2.3 μB/f.u.
Density: 8.25 g cm⁻³

=====

[2]
Compound: NaFeSiAs
Source: OQMD via LeMat-Bulk
Functional: PBE
Structure: relaxed

CIF file:
```
data_NaFeSiAs
_space_group_name_H-M_alt 'F -4 3 m'
_space_group_IT_number 216
_space_group_name_Hall 'F -4 2 3'
_cell_length_a 6.4402
_cell_length_b 6.4402
_cell_length_c 6.4402
_cell_angle_alpha 90.00
_cell_angle_beta 90.00
_cell_angle_gamma 90.00
loop_
_atom_site_label
_atom_site_type_symbol
_atom_site_fract_x
_atom_site_fract_y
_atom_site_fract_z
Na1 Na 0.0000 0.0000 0.0000
Fe1 Fe 0.2500 0.2500 0.2500
Si1 Si 0.2500 0.2500 0.7500
As1 As 0.0000 0.0000 0.5000
```

Properties
ΔE to the lowest computed polymorph: 244.4 meV/atom
Spin magnetization: 2.4 μB/f.u.
Density: 4.52 g cm⁻³

=====

[3]
Compound: NaFeSiAs
Source: OQMD via LeMat-Bulk
Functional: PBE
Structure: relaxed

CIF file:
```
data_NaFeSiAs
_space_group_name_H-M_alt 'F -4 3 m'
_space_group_IT_number 216
_space_group_name_Hall 'F -4 2 3'
_cell_length_a 6.2446
_cell_length_b 6.2446
_cell_length_c 6.2446
_cell_angle_alpha 90.00
_cell_angle_beta 90.00
_cell_angle_gamma 90.00
loop_
_atom_site_label
_atom_site_type_symbol
_atom_site_fract_x
_atom_site_fract_y
_atom_site_fract_z
Na1 Na 0.0000 0.0000 0.0000
Fe1 Fe 0.0000 0.0000 0.5000
Si1 Si 0.2500 0.2500 0.7500
As1 As 0.2500 0.2500 0.2500
```

Properties
ΔE to the lowest computed polymorph: 0.0 meV/atom
Spin magnetization: 1.7 μB/f.u.
Density: 4.96 g cm⁻³

=====

[4]
Compound: NaFeSiAs
Source: OQMD via LeMat-Bulk
Functional: PBE
Structure: relaxed

CIF file:
```
data_NaFeSiAs
_space_group_name_H-M_alt 'F -4 3 m'
_space_group_IT_number 216
_space_group_name_Hall 'F -4 2 3'
_cell_length_a 6.3533
_cell_length_b 6.3533
_cell_length_c 6.3533
_cell_angle_alpha 90.00
_cell_angle_beta 90.00
_cell_angle_gamma 90.00
loop_
_atom_site_label
_atom_site_type_symbol
_atom_site_fract_x
_atom_site_fract_y
_atom_site_fract_z
Na1 Na 0.0000 0.0000 0.0000
Fe1 Fe 0.2500 0.2500 0.2500
Si1 Si 0.0000 0.0000 0.5000
As1 As 0.2500 0.2500 0.7500
```

Properties
ΔE to the lowest computed polymorph: 174.7 meV/atom
Spin magnetization: 2.0 μB/f.u.
Density: 4.71 g cm⁻³

=====

[5]
Compound: NaZn2Fe2As3
Source: OQMD via LeMat-Bulk
Functional: PBE
Structure: relaxed

CIF file:
```
data_NaZn2Fe2As3
_space_group_name_H-M_alt 'R -3 m'
_space_group_IT_number 166
_space_group_name_Hall '-R 3 2"'
_cell_length_a 4.1275
_cell_length_b 4.1275
_cell_length_c 30.8811
_cell_angle_alpha 90.00
_cell_angle_beta 90.00
_cell_angle_gamma 120.00
loop_
_atom_site_label
_atom_site_type_symbol
_atom_site_fract_x
_atom_site_fract_y
_atom_site_fract_z
Na1 Na 0.0000 0.0000 0.0000
Zn1 Zn 0.0000 0.0000 0.4132
Fe1 Fe 0.0000 0.0000 0.1868
As1 As 0.0000 0.0000 0.2682
As2 As 0.0000 0.0000 0.5000
```

Properties
Spin magnetization: 5.3 μB/f.u.
Uncorrected energy: -4.43 eV per atom
Density: 5.36 g cm⁻³

=====

[6]
Compound: NbFeAs2
Source: OQMD via LeMat-Bulk
Functional: PBE
Structure: relaxed

CIF file:
```
data_NbFeAs2
_space_group_name_H-M_alt 'F -4 3 m'
_space_group_IT_number 216
_space_group_name_Hall 'F -4 2 3'
_cell_length_a 6.3336
_cell_length_b 6.3336
_cell_length_c 6.3336
_cell_angle_alpha 90.00
_cell_angle_beta 90.00
_cell_angle_gamma 90.00
loop_
_atom_site_label
_atom_site_type_symbol
_atom_site_fract_x
_atom_site_fract_y
_atom_site_fract_z
Nb1 Nb 0.0000 0.0000 0.0000
Fe1 Fe 0.2500 0.2500 0.2500
As1 As 0.0000 0.0000 0.5000
As2 As 0.2500 0.2500 0.7500
```

Properties
Spin magnetization: 2.2 μB/f.u.
Uncorrected energy: -6.69 eV per atom
Density: 7.81 g cm⁻³

=====

[7]
Compound: NbFe2As
Source: OQMD via LeMat-Bulk
Functional: PBE
Structure: relaxed

CIF file:
```
data_NbFe2As
_space_group_name_H-M_alt 'F -4 3 m'
_space_group_IT_number 216
_space_group_name_Hall 'F -4 2 3'
_cell_length_a 5.9720
_cell_length_b 5.9720
_cell_length_c 5.9720
_cell_angle_alpha 90.00
_cell_angle_beta 90.00
_cell_angle_gamma 90.00
loop_
_atom_site_label
_atom_site_type_symbol
_atom_site_fract_x
_atom_site_fract_y
_atom_site_fract_z
Nb1 Nb 0.0000 0.0000 0.0000
Fe1 Fe 0.0000 0.0000 0.5000
Fe2 Fe 0.2500 0.2500 0.2500
As1 As 0.2500 0.2500 0.7500
```

Properties
Spin magnetization: 3.7 μB/f.u.
Uncorrected energy: -7.83 eV per atom
Density: 8.72 g cm⁻³

=====

[8]
Compound: Nb2Fe2As3
Source: OQMD via LeMat-Bulk
Functional: PBE
Structure: relaxed

CIF file:
```
data_Nb2Fe2As3
_space_group_name_H-M_alt 'C m m m'
_space_group_IT_number 65
_space_group_name_Hall '-C 2 2'
_cell_length_a 3.0809
_cell_length_b 23.8119
_cell_length_c 2.8893
_cell_angle_alpha 90.00
_cell_angle_beta 90.00
_cell_angle_gamma 90.00
loop_
_atom_site_label
_atom_site_type_symbol
_atom_site_fract_x
_atom_site_fract_y
_atom_site_fract_z
Nb1 Nb 0.0000 0.2003 0.0000
Fe1 Fe 0.0000 0.0648 0.0000
As1 As 0.0000 0.3779 0.5000
As2 As 0.0000 0.5000 0.5000
```

Properties
Spin magnetization: 2.2 μB/f.u.
Uncorrected energy: -7.11 eV per atom
Density: 8.18 g cm⁻³

=====

[9]
Compound: NbFeNiAs
Source: OQMD via LeMat-Bulk
Functional: PBE
Structure: relaxed

CIF file:
```
data_NbFeNiAs
_space_group_name_H-M_alt 'F -4 3 m'
_space_group_IT_number 216
_space_group_name_Hall 'F -4 2 3'
_cell_length_a 6.0357
_cell_length_b 6.0357
_cell_length_c 6.0357
_cell_angle_alpha 90.00
_cell_angle_beta 90.00
_cell_angle_gamma 90.00
loop_
_atom_site_label
_atom_site_type_symbol
_atom_site_fract_x
_atom_site_fract_y
_atom_site_fract_z
Nb1 Nb 0.0000 0.0000 0.0000
Fe1 Fe 0.0000 0.0000 0.5000
Ni1 Ni 0.2500 0.2500 0.7500
As1 As 0.2500 0.2500 0.2500
```

Properties
ΔE to the lowest computed polymorph: 0.0 meV/atom
Spin magnetization: 1.9 μB/f.u.
Density: 8.53 g cm⁻³

=====

[10]
Compound: NbFeNiAs
Source: OQMD via LeMat-Bulk
Functional: PBE
Structure: relaxed

CIF file:
```
data_NbFeNiAs
_space_group_name_H-M_alt 'F -4 3 m'
_space_group_IT_number 216
_space_group_name_Hall 'F -4 2 3'
_cell_length_a 6.0591
_cell_length_b 6.0591
_cell_length_c 6.0591
_cell_angle_alpha 90.00
_cell_angle_beta 90.00
_cell_angle_gamma 90.00
loop_
_atom_site_label
_atom_site_type_symbol
_atom_site_fract_x
_atom_site_fract_y
_atom_site_fract_z
Nb1 Nb 0.0000 0.0000 0.0000
Fe1 Fe 0.2500 0.2500 0.7500
Ni1 Ni 0.0000 0.0000 0.5000
As1 As 0.2500 0.2500 0.2500
```

Properties
ΔE to the lowest computed polymorph: 48.3 meV/atom
Spin magnetization: 2.1 μB/f.u.
Density: 8.43 g cm⁻³

=====

[11]
Compound: Nb2FeAs2Os
Source: OQMD via LeMat-Bulk
Functional: PBE
Structure: relaxed

CIF file:
```
data_Nb2FeAs2Os
_space_group_name_H-M_alt 'P 1 m 1'
_space_group_IT_number 6
_space_group_name_Hall 'P -2y'
_cell_length_a 7.2044
_cell_length_b 4.1413
_cell_length_c 13.7679
_cell_angle_alpha 90.00
_cell_angle_beta 99.71
_cell_angle_gamma 90.00
loop_
_atom_site_label
_atom_site_type_symbol
_atom_site_fract_x
_atom_site_fract_y
_atom_site_fract_z
Nb1 Nb 0.0000 0.0000 0.0000
Nb2 Nb 0.0063 0.5000 0.4901
Nb3 Nb 0.2349 0.0000 0.7348
Nb4 Nb 0.2451 0.5000 0.2402
Nb5 Nb 0.4814 0.0000 0.4819
Nb6 Nb 0.4987 0.5000 0.9993
Nb7 Nb 0.7429 0.0000 0.2345
Nb8 Nb 0.7561 0.5000 0.7371
Fe1 Fe 0.0586 0.5000 0.6741
Fe2 Fe 0.0598 0.0000 0.1810
Fe3 Fe 0.3046 0.5000 0.4227
Fe4 Fe 0.5573 0.5000 0.1793
As1 As 0.1195 0.5000 0.8584
As2 As 0.1255 0.0000 0.3611
As3 As 0.3606 0.5000 0.6086
As4 As 0.3720 0.0000 0.1224
As5 As 0.6092 0.5000 0.3598
As6 As 0.6206 0.0000 0.8632
As7 As 0.8743 0.5000 0.1228
As8 As 0.8790 0.0000 0.6141
Os1 Os 0.3081 0.0000 0.9290
Os2 Os 0.5562 0.0000 0.6726
Os3 Os 0.8074 0.0000 0.4244
Os4 Os 0.8109 0.5000 0.9307
```

Properties
Spin magnetization: 0.0 μB/f.u.
Uncorrected energy: -8.55 eV per atom
Density: 9.54 g cm⁻³

=====

[12]
Compound: NbFeAsPt
Source: OQMD via LeMat-Bulk
Functional: PBE
Structure: relaxed

CIF file:
```
data_NbFeAsPt
_space_group_name_H-M_alt 'F -4 3 m'
_space_group_IT_number 216
_space_group_name_Hall 'F -4 2 3'
_cell_length_a 6.3260
_cell_length_b 6.3260
_cell_length_c 6.3260
_cell_angle_alpha 90.00
_cell_angle_beta 90.00
_cell_angle_gamma 90.00
loop_
_atom_site_label
_atom_site_type_symbol
_atom_site_fract_x
_atom_site_fract_y
_atom_site_fract_z
Nb1 Nb 0.0000 0.0000 0.0000
Fe1 Fe 0.2500 0.2500 0.7500
As1 As 0.0000 0.0000 0.5000
Pt1 Pt 0.2500 0.2500 0.2500
```

Properties
ΔE to the lowest computed polymorph: 226.8 meV/atom
Spin magnetization: 1.6 μB/f.u.
Density: 10.99 g cm⁻³